# 1
The following is a PBE calculation of Ta3InBr after structural relaxation, from the Alexandria database.

Summary:
The calculation puts the total moment at 0.000 μB/atom. The calculation puts the energy above the lowest structure with this stoichiometry at 1.0226 eV per atom. The calculation puts the total energy at -5.61 eV/atom. As for the density of states at the Fermi level: 12.1 states/eV/cell. As for the calculated density: 9.2 g cm⁻³. As for the uncorrected formation energy: 2.3805 eV per atom.

Lattice parameters (Å, degrees): 5.104 5.104 5.104 90.00 90.00 90.00
Positions (direct):
Ta  0.000  0.000  0.500
Ta  0.000  0.500  0.000
Ta  0.500  0.000  0.000
In  0.000  0.000  0.000
Br  0.500  0.500  0.500

***

# 2
The following is a PBE calculation of TaIn2Br6 after structural relaxation, from the Alexandria database.

Summary:
The calculation puts the total moment at 0.112 μB/atom. The calculation puts the energy above the lowest structure with this stoichiometry at 0.0046 eV per atom. The calculation puts the total energy at -3.80 eV/atom. As for the density of states at the Fermi level: 5.3 states/eV/cell. As for the calculated density: 4.5 g cm⁻³. As for the uncorrected formation energy: -0.7560 eV per atom.

Lattice parameters (Å, degrees): 7.504 7.504 6.675 90.58 90.58 60.09
Positions (direct):
Ta  0.000  0.000  0.000
In  0.331  0.331  0.873
In  0.669  0.669  0.127
Br  0.162  0.676  0.220
Br  0.163  0.163  0.224
Br  0.324  0.838  0.780
Br  0.676  0.162  0.220
Br  0.837  0.837  0.776
Br  0.838  0.324  0.780

***

# 3
The following is a PBE calculation of Ta3In2Br9 after structural relaxation, from the Alexandria database.

Summary:
The calculation puts the total moment at 0.000 μB/atom. The calculation puts the total energy at -4.82 eV/atom. As for the calculated density: 5.6 g cm⁻³. As for the uncorrected formation energy: -0.8166 eV per atom.

Lattice parameters (Å, degrees): 10.238 10.238 10.222 103.58 103.58 114.55
Positions (direct):
Ta  0.039  0.208  0.635
Ta  0.112  0.112  0.381
Ta  0.208  0.039  0.635
Ta  0.792  0.961  0.365
Ta  0.888  0.888  0.619
Ta  0.961  0.792  0.365
In  0.233  0.550  0.163
In  0.450  0.767  0.837
In  0.550  0.233  0.163
In  0.767  0.450  0.837
Br  0.090  0.879  0.185
Br  0.095  0.500  0.826
Br  0.121  0.910  0.815
Br  0.185  0.398  0.521
Br  0.212  0.788  0.500
Br  0.267  0.267  0.220
Br  0.310  0.310  0.836
Br  0.398  0.185  0.521
Br  0.500  0.095  0.826
Br  0.500  0.905  0.174
Br  0.602  0.815  0.479
Br  0.690  0.690  0.164
Br  0.733  0.733  0.780
Br  0.788  0.212  0.500
Br  0.815  0.602  0.479
Br  0.879  0.090  0.185
Br  0.905  0.500  0.174
Br  0.910  0.121  0.815

***

# 4
The following is a PBE calculation of TaIn2Br6 after structural relaxation, from the Alexandria database.

Summary:
The calculation puts the total moment at 0.111 μB/atom. The calculation puts the energy above the lowest structure with this stoichiometry at 0.0000 eV per atom. The calculation puts the total energy at -3.80 eV/atom. As for the density of states at the Fermi level: 10.4 states/eV/cell. As for the calculated density: 3.9 g cm⁻³. As for the uncorrected formation energy: -0.7606 eV per atom.

Lattice parameters (Å, degrees): 7.617 8.846 13.652 90.00 123.87 90.00
Positions (direct):
Ta  0.000  0.000  0.000
Ta  0.000  0.500  0.500
In  0.288  0.001  0.788
In  0.288  0.499  0.288
In  0.712  0.501  0.712
In  0.712  0.999  0.212
Br  0.027  0.170  0.161
Br  0.027  0.330  0.661
Br  0.288  0.161  0.000
Br  0.288  0.339  0.500
Br  0.294  0.671  0.660
Br  0.294  0.829  0.160
Br  0.706  0.171  0.840
Br  0.706  0.329  0.340
Br  0.712  0.661  0.500
Br  0.712  0.839  0.000
Br  0.973  0.670  0.339
Br  0.973  0.830  0.839

***

# 5
The following is a PBE calculation of TaIn3Br after structural relaxation, from the Alexandria database.

Summary:
The calculation puts the total moment at 0.690 μB/atom. The calculation puts the energy above the lowest structure with this stoichiometry at 0.0000 eV per atom. The calculation puts the total energy at -3.78 eV/atom. As for the density of states at the Fermi level: 3.0 states/eV/cell. As for the calculated density: 5.8 g cm⁻³. As for the uncorrected formation energy: 0.5699 eV per atom.

Lattice parameters (Å, degrees): 5.575 5.575 5.575 90.00 90.00 90.00
Positions (direct):
Ta  0.000  0.000  0.000
In  0.000  0.000  0.500
In  0.000  0.500  0.000
In  0.500  0.000  0.000
Br  0.500  0.500  0.500

***

# 6
The following is a PBE calculation of TaInBr3 after structural relaxation, from the Alexandria database.

Summary:
The calculation puts the total moment at 0.808 μB/atom. The calculation puts the total energy at -3.12 eV/atom. As for the density of states at the Fermi level: 7.9 states/eV/cell. As for the calculated density: 5.2 g cm⁻³. As for the uncorrected formation energy: 0.7979 eV per atom.

Lattice parameters (Å, degrees): 5.564 5.564 5.564 90.00 90.00 90.00
Positions (direct):
Ta  0.000  0.000  0.000
In  0.500  0.500  0.500
Br  0.000  0.500  0.500
Br  0.500  0.000  0.500
Br  0.500  0.500  0.000